Tc3Os: relaxed, PBE.

Lattice parameters (Å, degrees): 2.7620 2.7620 8.7629 90.00 90.00 120.00
Fractional coordinates of all 4 atoms:
Tc 0.0000 0.0000 0.0000
Tc 0.3333 0.6667 0.2512
Tc 0.3333 0.6667 0.7488
Os 0.0000 0.0000 0.5000

Values from the calculation:
Raw total energy: -0.3901 Ha/atom
Formation enthalpy at 0 K: -3.2 kJ per mole of atoms
Distance to the lowest polymorph of the same formula: 21 meV per atom
DOS at the Fermi energy: 1.0178 states/eV/atom
Magnetic moment: 0.000 μB per atom


Tc8Os: relaxed, PBE.

Lattice parameters (Å, degrees): 6.1365 6.1365 6.1365 95.72 95.72 143.19
Fractional coordinates of all 9 atoms:
Tc 0.0000 0.3315 0.3315
Tc 0.0000 0.6685 0.6685
Tc 0.3315 0.0000 0.3315
Tc 0.3349 0.3349 0.6699
Tc 0.3349 0.6651 0.0000
Tc 0.6651 0.3349 0.0000
Tc 0.6651 0.6651 0.3301
Tc 0.6685 0.0000 0.6685
Os 0.0000 0.0000 0.0000

Values from the calculation:
Raw total energy: -0.3819 Ha/atom
Formation enthalpy at 0 K: 6.7 kJ per mole of atoms
DOS at the Fermi energy: 1.3173 states/eV/atom
Magnetic moment: 0.000 μB per atom


Tc3Os: relaxed, PBE.

Lattice parameters (Å, degrees): 4.9036 4.9036 4.9036 90.00 90.00 90.00
Fractional coordinates of all 8 atoms:
Tc 0.0000 0.2500 0.5000
Tc 0.0000 0.7500 0.5000
Tc 0.2500 0.5000 0.0000
Tc 0.5000 0.0000 0.2500
Tc 0.5000 0.0000 0.7500
Tc 0.7500 0.5000 0.0000
Os 0.0000 0.0000 0.0000
Os 0.5000 0.5000 0.5000

Values from the calculation:
Raw total energy: -0.3837 Ha/atom
Formation enthalpy at 0 K: 13.5 kJ per mole of atoms
Distance to the lowest polymorph of the same formula: 194 meV per atom
DOS at the Fermi energy: 0.5534 states/eV/atom
Magnetic moment: 0.000 μB per atom


Tc4Os3: relaxed, PBE.

Lattice parameters (Å, degrees): 5.0507 5.0507 4.7781 90.00 90.00 120.00
Fractional coordinates of all 7 atoms:
Tc 0.0000 0.0000 0.2400
Tc 0.0000 0.0000 0.7600
Tc 0.3333 0.6667 0.0000
Tc 0.6667 0.3333 0.0000
Os 0.0000 0.5000 0.5000
Os 0.5000 0.0000 0.5000
Os 0.5000 0.5000 0.5000

Values from the calculation:
Raw total energy: -0.3853 Ha/atom
Formation enthalpy at 0 K: 24.3 kJ per mole of atoms
Distance to the lowest polymorph of the same formula: 0 meV per atom
DOS at the Fermi energy: 0.8309 states/eV/atom
Magnetic moment: 0.000 μB per atom


Tc3Os: relaxed, PBE.

Lattice parameters (Å, degrees): 5.5157 5.5157 4.3964 90.00 90.00 120.00
Fractional coordinates of all 8 atoms:
Tc 0.1657 0.3315 0.2500
Tc 0.1657 0.8343 0.2500
Tc 0.3315 0.1657 0.7500
Tc 0.6685 0.8343 0.2500
Tc 0.8343 0.1657 0.7500
Tc 0.8343 0.6685 0.7500
Os 0.3333 0.6667 0.7500
Os 0.6667 0.3333 0.2500

Values from the calculation:
Raw total energy: -0.3902 Ha/atom
Formation enthalpy at 0 K: -3.6 kJ per mole of atoms
Distance to the lowest polymorph of the same formula: 17 meV per atom
DOS at the Fermi energy: 1.2354 states/eV/atom
Magnetic moment: 0.000 μB per atom


Tc3Os: relaxed, PBE.

Lattice parameters (Å, degrees): 4.7514 4.7514 4.7536 99.31 99.31 33.38
Fractional coordinates of all 4 atoms:
Tc 0.0000 0.0000 0.0000
Tc 0.2469 0.2469 0.7471
Tc 0.7531 0.7531 0.2529
Os 0.5000 0.5000 0.5000

Values from the calculation:
Raw total energy: -0.3866 Ha/atom
Formation enthalpy at 0 K: 6.0 kJ per mole of atoms
Distance to the lowest polymorph of the same formula: 116 meV per atom
DOS at the Fermi energy: 1.2345 states/eV/atom
Magnetic moment: 0.000 μB per atom


Tc3Os: relaxed, PBE.

Lattice parameters (Å, degrees): 2.7363 2.7363 7.7726 90.00 90.00 90.00
Fractional coordinates of all 4 atoms:
Tc 0.0000 0.0000 0.0000
Tc 0.5000 0.5000 0.2521
Tc 0.5000 0.5000 0.7479
Os 0.0000 0.0000 0.5000

Values from the calculation:
Raw total energy: -0.3863 Ha/atom
Formation enthalpy at 0 K: 6.7 kJ per mole of atoms
Distance to the lowest polymorph of the same formula: 123 meV per atom
DOS at the Fermi energy: 1.1562 states/eV/atom
Magnetic moment: 0.000 μB per atom


Tc3Os: relaxed, PBE.

Lattice parameters (Å, degrees): 5.4929 13.2746 4.7752 90.00 90.00 90.00
Fractional coordinates of all 24 atoms:
Tc 0.0013 0.0845 0.1653
Tc 0.0013 0.4155 0.1653
Tc 0.0005 0.7500 0.5043
Tc 0.2500 0.2500 0.9955
Tc 0.2500 0.5854 0.3330
Tc 0.2500 0.9146 0.3330
Tc 0.4987 0.0845 0.1653
Tc 0.4987 0.4155 0.1653
Tc 0.4995 0.7500 0.5043
Tc 0.5005 0.2500 0.4957
Tc 0.5013 0.5845 0.8347
Tc 0.5013 0.9155 0.8347
Tc 0.7500 0.0854 0.6670
Tc 0.7500 0.4146 0.6670
Tc 0.7500 0.7500 0.0045
Tc 0.9995 0.2500 0.4957
Tc 0.9987 0.5845 0.8347
Tc 0.9987 0.9155 0.8347
Os 0.2500 0.0843 0.6673
Os 0.2500 0.4157 0.6673
Os 0.2500 0.7500 0.0004
Os 0.7500 0.2500 0.9996
Os 0.7500 0.5843 0.3327
Os 0.7500 0.9157 0.3327

Values from the calculation:
Raw total energy: -0.3883 Ha/atom
Formation enthalpy at 0 K: 1.4 kJ per mole of atoms
Distance to the lowest polymorph of the same formula: 69 meV per atom
DOS at the Fermi energy: 1.1973 states/eV/atom
Magnetic moment: 0.000 μB per atom